(1)
In2PbCl2: relaxed, PBE.

The structure in POSCAR format:
```
In2PbCl2
1.0
-2.0766 2.1813 3.3873
-0.9538 -3.9686 1.9709
4.6609 -0.5936 6.2720
Pb Cl In
1 2 2
direct
0.0000 0.0000 0.0000 Pb
0.7500 0.2500 0.5000 Cl
0.2500 0.7500 0.5000 Cl
0.3777 0.3777 0.2447 In
0.6223 0.6223 0.7553 In
```

- space-group type = No. 139
- raw formation energy (eV/atom) = -0.331

---

(2)
KRb2Ag2: relaxed, PBE.

The structure in POSCAR format:
```
KRb2Ag2
1.0
10.2472 0.0000 0.0000
0.0000 10.2472 0.0000
0.0000 0.0000 4.1403
K Rb Ag
2 4 4
direct
0.0000 0.0000 0.0000 K
0.5000 0.5000 0.0000 K
0.3677 0.8677 0.0000 Rb
0.8677 0.6323 0.0000 Rb
0.6323 0.1323 0.0000 Rb
0.1323 0.3677 0.0000 Rb
0.1671 0.6671 0.5000 Ag
0.6671 0.8329 0.5000 Ag
0.8329 0.3329 0.5000 Ag
0.3329 0.1671 0.5000 Ag
```

- space-group type = No. 127
- uncorrected energy (eV/atom) = -1.633

---

(3)
Tm3Al2Tc3C: relaxed, PBE.

The structure in POSCAR format:
```
Tm3Al2Tc3C
1.0
3.3955 0.0000 0.0000
0.0000 7.2707 0.0000
0.0000 -3.6354 6.2967
Tm Al Tc C
3 2 3 1
direct
0.0000 0.0000 0.3564 Tm
0.0000 0.6436 0.6436 Tm
0.0000 0.3564 0.0000 Tm
0.5000 0.3333 0.6667 Al
0.5000 0.6667 0.3333 Al
0.5000 0.7710 0.0000 Tc
0.5000 0.2290 0.2290 Tc
0.5000 0.0000 0.7710 Tc
0.0000 0.0000 0.0000 C
```

- space-group type = No. 189
- uncorrected energy (eV/atom) = -6.889

---

(4)
Mg5UN6: relaxed, PBE.

The structure in POSCAR format:
```
Mg5UN6
1.0
-5.0344 2.1150 0.4691
2.0466 -1.1446 -4.9538
-0.9680 -5.0690 1.7829
Mg U N
5 1 6
direct
0.8279 0.1721 0.5000 Mg
0.6666 0.3334 0.0000 Mg
0.5000 0.5000 0.5000 Mg
0.3334 0.6666 0.0000 Mg
0.1721 0.8279 0.5000 Mg
0.0000 0.0000 0.0000 U
0.4055 0.0840 0.2461 N
0.9160 0.5945 0.7539 N
0.2366 0.2366 0.7630 N
0.7634 0.7634 0.2370 N
0.0840 0.4055 0.2461 N
0.5945 0.9160 0.7539 N
```

- space-group type = No. 12
- raw formation energy (eV/atom) = -0.828

---

(5)
Ac6BiTe3As2: relaxed, PBE.

The structure in POSCAR format:
```
Ac6BiTe3As2
1.0
-3.7794 -7.1672 0.2699
6.3079 1.0536 -4.9825
3.9650 -0.2860 7.1673
Ac Bi Te As
6 1 3 2
direct
0.9224 0.5743 0.7684 Ac
0.7280 0.7280 0.2288 Ac
0.0776 0.4257 0.2316 Ac
0.5743 0.9224 0.7684 Ac
0.2720 0.2720 0.7712 Ac
0.4257 0.0776 0.2316 Ac
0.0000 0.0000 0.0000 Bi
0.1614 0.8386 0.5000 Te
0.8386 0.1614 0.5000 Te
0.5000 0.5000 0.5000 Te
0.3326 0.6674 0.0000 As
0.6674 0.3326 0.0000 As
```

- space-group type = No. 12
- raw formation energy (eV/atom) = -1.452

---

(6)
BBrO: relaxed, PBE.

The structure in POSCAR format:
```
BBrO
1.0
4.3078 0.0000 0.0000
0.0000 4.9449 0.0000
0.0000 0.0000 8.6484
B Br O
4 4 4
direct
0.0061 0.0997 0.0721 B
0.5061 0.9003 0.9279 B
0.0061 0.5997 0.9279 B
0.5061 0.4003 0.0721 B
0.0565 0.0047 0.2898 Br
0.5565 0.9953 0.7102 Br
0.0565 0.5047 0.7102 Br
0.5565 0.4953 0.2898 Br
0.1665 0.3701 0.0261 O
0.6665 0.6299 0.9739 O
0.1665 0.8701 0.9739 O
0.6665 0.1299 0.0261 O
```

- space-group type = No. 29
- raw formation energy (eV/atom) = -1.319

---

(7)
MgReIO2: relaxed, PBE.

The structure in POSCAR format:
```
MgReIO2
1.0
3.8831 0.0000 0.0000
0.0000 3.8831 0.0000
0.0000 0.0000 6.5509
I Re Mg O
1 1 1 2
direct
0.0000 0.0000 0.5000 I
0.0000 0.0000 0.0000 Re
0.5000 0.5000 0.5000 Mg
0.0000 0.5000 0.0000 O
0.5000 0.0000 0.0000 O
```

- space-group type = No. 123
- raw formation energy (eV/atom) = -0.597

---

(8)
KGa3P: relaxed, PBE.

The structure in POSCAR format:
```
KGa3P
1.0
5.0228 0.0000 0.0000
0.0000 5.0228 0.0000
0.0000 0.0000 5.0228
P K Ga
1 1 3
direct
0.0000 0.0000 0.0000 P
0.5000 0.5000 0.5000 K
0.0000 0.5000 0.0000 Ga
0.0000 0.0000 0.5000 Ga
0.5000 0.0000 0.0000 Ga
```

- space-group type = No. 221
- uncorrected energy (eV/atom) = -2.885

---

(9)
Cs2BrCl6: relaxed, PBE.

The structure in POSCAR format:
```
Cs2BrCl6
1.0
-6.2858 0.6258 3.6573
-0.5979 -3.6736 6.8511
0.1672 3.5779 6.9254
Cs Br Cl
2 1 6
direct
0.7495 0.7497 0.7497 Cs
0.2505 0.2503 0.2503 Cs
0.0000 0.0000 0.0000 Br
0.2314 0.2331 0.7683 Cl
0.2543 0.7458 0.7458 Cl
0.2314 0.7683 0.2331 Cl
0.7686 0.7669 0.2317 Cl
0.7457 0.2542 0.2542 Cl
0.7686 0.2317 0.7669 Cl
```

- space-group type = No. 12
- raw formation energy (eV/atom) = -0.820

---

(10)
SnPHS: relaxed, PBE.

The structure in POSCAR format:
```
SnPHS
1.0
4.0490 -0.0021 0.0099
0.0314 4.3093 0.0148
1.6057 1.8956 4.7147
Sn P H S
1 1 1 1
direct
0.1396 0.6132 0.0993 Sn
0.6087 0.0305 0.1356 P
0.4435 0.3923 0.6619 H
0.6857 0.1653 0.6832 S
```

- space-group type = No. 1
- uncorrected energy (eV/atom) = -4.130

---

Number 1: Fermi-level density of states 3.018 states/eV per cell. Number 2: Fermi-level density of states 3.259 states/eV per cell. Number 3: Fermi-level density of states 8.736 states/eV per cell. Number 4: Fermi-level density of states 8.764 states/eV per cell. Number 5: Fermi-level density of states 5.436 states/eV per cell. Number 6: Fermi-level density of states 0.000 states/eV per cell. Number 7: Fermi-level density of states 3.199 states/eV per cell. Number 8: Fermi-level density of states 2.544 states/eV per cell. Number 9: Fermi-level density of states 0.136 states/eV per cell. Number 10: Fermi-level density of states 0.391 states/eV per cell.